4
Lattice="4.674 0.000 0.000 2.337 4.048 0.000 2.337 1.349 3.817" Properties=species:S:1:pos:R:3 comment="meta-GGA SCAN BaFeIr2, PBEsol geometry" formation_energy_ev_per_atom=0.95 space_group="F-43m (216)" magmom_total_mub_per_cell=3.86 pbc="T T T"
Ba 4.674 2.699 1.908
Fe 2.337 1.349 0.954
Ir 0.000 0.000 0.000
Ir 7.012 4.048 2.862

4
Lattice="3.244 0.000 0.000 1.622 2.810 0.000 1.622 0.937 9.995" Properties=species:S:1:pos:R:3 comment="meta-GGA SCAN Sc2TlMo, PBEsol geometry" formation_energy_ev_per_atom=0.25 space_group="R-3m (166)" magmom_total_mub_per_cell=0.00 e_above_lowest_polymorph_ev_per_atom=0.1496 pbc="T T T"
Sc 4.866 2.810 3.057
Sc 1.622 0.937 6.938
Tl 0.000 0.000 0.000
Mo 3.244 1.873 4.997

9
Lattice="-4.528 -1.463 0.814 -3.280 -1.613 -6.830 0.078 -7.691 0.926" Properties=species:S:1:pos:R:3 comment="meta-GGA SCAN Tl4Pb5, PBEsol geometry" formation_energy_ev_per_atom=-0.02 space_group="I4/mmm (139)" magmom_total_mub_per_cell=0.00 pbc="T T T"
Pb 0.000 0.000 0.000
Pb -2.962 -6.117 1.161
Pb -1.488 -3.037 0.579
Pb -5.208 -2.052 -4.026
Pb -2.601 -1.024 -1.991
Tl -2.161 -3.638 -4.246
Tl -1.041 -5.666 -1.659
Tl -4.086 -4.076 -1.425
Tl -3.644 -6.691 -3.666

> Number 2 is which compound?

Sc2TlMo